Below is an optimized crystal structure of GaSn3Pt12, with properties calculated at the PBE level.

- DFT formation energy: -0.42 eV/atom
- Total moment: 0.00 μB/f.u.

Cell and atoms, written as CIF:
```
data_GaSn3Pt12
_cell_length_a 4.0338
_cell_length_b 4.0338
_cell_length_c 16.1113
_cell_angle_alpha 90.00
_cell_angle_beta 90.00
_cell_angle_gamma 90.00
_symmetry_space_group_name_H-M 'P 4/m m m'
_symmetry_Int_Tables_number 123
_symmetry_space_group_name_Hall '-P 4 2'
loop_
_atom_site_label
_atom_site_fract_x
_atom_site_fract_y
_atom_site_fract_z
_atom_site_occupancy
Ga1 0.0000 0.0000 0.0000 1
Sn1 0.0000 0.0000 0.2443 1
Sn2 0.0000 0.0000 0.5000 1
Pt1 0.0000 0.5000 0.1187 1
Pt2 0.0000 0.5000 0.3731 1
Pt3 0.5000 0.5000 0.0000 1
Pt4 0.5000 0.5000 0.2469 1
Pt5 0.5000 0.5000 0.5000 1
```